(1)
Density functional theory data (GGA-PBE) for an optimized crystal structure of Pm4Pd7Au6.

Lattice parameters (Å, degrees): 7.6301 7.6301 7.6301 109.47 109.47 109.47
Fractional coordinates of all 17 atoms:
Pm 0.5000 0.0000 0.0000
Pm 0.5000 0.5000 0.5000
Pm 0.0000 0.5000 0.0000
Pm 0.0000 0.0000 0.5000
Pd 0.7500 0.5000 0.2500
Pd 0.2500 0.7500 0.5000
Pd 0.5000 0.7500 0.2500
Pd 0.7500 0.2500 0.5000
Pd 0.2500 0.5000 0.7500
Pd 0.5000 0.2500 0.7500
Pd 0.0000 0.0000 0.0000
Au 0.6959 0.0000 0.6959
Au 0.6959 0.6959 0.0000
Au 0.0000 0.3041 0.3041
Au 0.3041 0.0000 0.3041
Au 0.3041 0.3041 0.0000
Au 0.0000 0.6959 0.6959

Output
total DFT energy (no corrections): -5.06 eV/atom
calculated volume: 341.96 Å³/cell
Fermi-level density of states: 0.44 states/eV/atom
formation enthalpy at 0 K: -1068 kJ/mol of formula units
crystal system: cubic

(2)
Density functional theory data (GGA-PBE) for an optimized crystal structure of PmPdAu2.

Lattice parameters (Å, degrees): 3.8286 3.8286 5.6604 90.00 90.00 90.00
Fractional coordinates of all 4 atoms:
Au 0.0000 0.0000 0.7613
Au 0.0000 0.0000 0.2387
Pd 0.5000 0.5000 0.0000
Pm 0.5000 0.5000 0.5000

Output
total DFT energy (no corrections): -4.74 eV/atom
calculated volume: 82.97 Å³/cell
Fermi-level density of states: 0.37 states/eV/atom
formation enthalpy at 0 K: -238 kJ/mol of formula units
crystal system: tetragonal

(3)
Density functional theory data (GGA-PBE) for an optimized crystal structure of Pm3PdAu.

Lattice parameters (Å, degrees): 7.5142 7.0359 10.2535 87.31 90.00 90.00
Fractional coordinates of all 20 atoms:
Pm 0.9686 0.8251 0.2869
Pm 0.0314 0.1749 0.7131
Pm 0.4686 0.1749 0.2131
Pm 0.5314 0.8251 0.7869
Pm 0.5278 0.7534 0.4242
Pm 0.4722 0.2466 0.5758
Pm 0.0278 0.2466 0.0758
Pm 0.9722 0.7534 0.9242
Pm 0.1283 0.6793 0.6050
Pm 0.8717 0.3207 0.3950
Pm 0.6283 0.3207 0.8950
Pm 0.3717 0.6793 0.1050
Pd 0.2009 0.0447 0.4452
Pd 0.7991 0.9553 0.5548
Pd 0.7009 0.9553 0.0548
Pd 0.2991 0.0447 0.9452
Au 0.7412 0.5412 0.1401
Au 0.2588 0.4588 0.8599
Au 0.2412 0.4588 0.3599
Au 0.7588 0.5412 0.6401

Output
total DFT energy (no corrections): -5.12 eV/atom
calculated volume: 541.50 Å³/cell
Fermi-level density of states: 1.08 states/eV/atom
formation enthalpy at 0 K: -276 kJ/mol of formula units
crystal system: monoclinic

(4)
Density functional theory data (GGA-PBE) for an optimized crystal structure of Pm8Pd2Au.

Lattice parameters (Å, degrees): 6.0010 8.0668 8.0668 115.93 99.99 99.99
Fractional coordinates of all 11 atoms:
Pm 0.5823 0.3463 0.0946
Pm 0.5823 0.0946 0.3463
Pm 0.1737 0.3797 0.3797
Pm 0.9883 0.2185 0.7807
Pm 0.9883 0.7807 0.2185
Pm 0.8041 0.6302 0.6302
Pm 0.3815 0.9106 0.6600
Pm 0.3815 0.6600 0.9106
Pd 0.4902 0.7049 0.3034
Pd 0.4902 0.3034 0.7049
Au 0.1373 0.0049 0.0049

Output
total DFT energy (no corrections): -5.01 eV/atom
calculated volume: 331.90 Å³/cell
Fermi-level density of states: 1.30 states/eV/atom
formation enthalpy at 0 K: -330 kJ/mol of formula units
crystal system: monoclinic

(5)
Density functional theory data (GGA-PBE) for an optimized crystal structure of PmPd3Au3.

Lattice parameters (Å, degrees): 4.7357 7.9372 7.9372 120.00 90.00 90.00
Fractional coordinates of all 14 atoms:
Pm 0.2500 0.6667 0.3333
Pm 0.7500 0.3333 0.6667
Pd 0.7500 0.4628 0.0846
Pd 0.7500 0.6218 0.5372
Pd 0.2500 0.0846 0.6218
Pd 0.7500 0.9154 0.3782
Pd 0.2500 0.3782 0.4628
Pd 0.2500 0.5372 0.9154
Au 0.7500 0.2097 0.2325
Au 0.7500 0.0228 0.7903
Au 0.2500 0.2325 0.0228
Au 0.7500 0.7675 0.9772
Au 0.2500 0.9772 0.2097
Au 0.2500 0.7903 0.7675

Output
total DFT energy (no corrections): -4.76 eV/atom
calculated volume: 258.37 Å³/cell
Fermi-level density of states: 0.43 states/eV/atom
formation enthalpy at 0 K: -304 kJ/mol of formula units
crystal system: hexagonal

(6)
Density functional theory data (GGA-PBE) for an optimized crystal structure of PmPd6Au5.

Lattice parameters (Å, degrees): 4.3094 7.6571 7.7336 119.67 106.18 90.00
Fractional coordinates of all 12 atoms:
Au 0.6658 0.1658 0.3316
Au 0.3302 0.3302 0.6603
Au 0.0000 0.5000 0.0000
Au 0.6698 0.6698 0.3397
Au 0.3342 0.8342 0.6684
Pd 0.8310 0.5750 0.6620
Pd 0.8310 0.0870 0.6620
Pd 0.5000 0.7380 0.0000
Pd 0.5000 0.2620 0.0000
Pd 0.1690 0.9130 0.3380
Pd 0.1690 0.4250 0.3380
Pm 0.0000 0.0000 0.0000

Output
total DFT energy (no corrections): -4.69 eV/atom
calculated volume: 210.01 Å³/cell
Fermi-level density of states: 0.41 states/eV/atom
formation enthalpy at 0 K: -380 kJ/mol of formula units
crystal system: orthorhombic